A geometry-optimized Y3Cd5Hg12 structure, computed with PBE.

## Properties
V in Å³/f.u.: 634.03
Fermi-level density of states in states/eV per cell: 51.71
SG: No. 230
Energy in eV per atom: -1.313

POSCAR file:
```
Y3Cd5Hg12
1.0
-1.9390 -10.3135 -10.5489
12.8073 7.1893 -2.3868
0.4125 -6.5704 13.3442
Hg Cd Y
48 20 12
direct
0.9102 0.0759 0.6369
0.0609 0.6369 0.7266
0.6657 0.2266 0.5898
0.7266 0.1369 0.0609
0.4391 0.7734 0.8631
0.6369 0.5759 0.9102
0.2266 0.6657 0.0898
0.3343 0.5609 0.4241
0.3631 0.9391 0.7734
0.7266 0.5898 0.1657
0.1369 0.7266 0.5609
0.7734 0.3343 0.9102
0.8631 0.5898 0.9241
0.9241 0.0898 0.8631
0.4391 0.6657 0.0759
0.4241 0.3631 0.5898
0.7734 0.4391 0.3631
0.8631 0.2734 0.4391
0.5898 0.8631 0.4241
0.5609 0.2266 0.1369
0.4102 0.1369 0.5759
0.9102 0.8343 0.7734
0.4102 0.2734 0.3343
0.1657 0.0898 0.7266
0.1369 0.4102 0.0759
0.0609 0.4241 0.8343
0.0898 0.9241 0.3631
0.9391 0.5759 0.1657
0.5609 0.3343 0.9241
0.5898 0.7266 0.6657
0.4241 0.0609 0.3343
0.3631 0.4241 0.0898
0.1657 0.0759 0.9391
0.2734 0.4102 0.8343
0.9391 0.3631 0.2734
0.0898 0.1657 0.2266
0.0759 0.9102 0.1369
0.9241 0.8343 0.5609
0.5759 0.9391 0.6657
0.2734 0.8631 0.9391
0.6657 0.4391 0.5759
0.8343 0.9241 0.0609
0.8343 0.9102 0.2734
0.2266 0.5609 0.6369
0.3343 0.7734 0.4102
0.0759 0.1657 0.4391
0.6369 0.0609 0.2266
0.5759 0.6369 0.4102
0.6250 0.7500 0.8750
0.7500 0.6250 0.3750
0.2500 0.3750 0.6250
0.6250 0.8750 0.2500
0.1250 0.3750 0.2500
0.0000 0.0000 0.0000
0.8750 0.2500 0.6250
0.5000 0.0000 0.0000
0.1250 0.7500 0.3750
0.5000 0.5000 0.5000
0.2500 0.8750 0.1250
0.3750 0.1250 0.7500
0.0000 0.5000 0.5000
0.7500 0.1250 0.8750
0.0000 0.0000 0.5000
0.5000 0.5000 0.0000
0.5000 0.0000 0.5000
0.8750 0.6250 0.7500
0.0000 0.5000 0.0000
0.3750 0.2500 0.1250
0.6250 0.2500 0.3750
0.8750 0.1250 0.2500
0.3750 0.6250 0.2500
0.2500 0.1250 0.3750
0.2500 0.6250 0.8750
0.6250 0.3750 0.7500
0.1250 0.8750 0.7500
0.3750 0.7500 0.6250
0.1250 0.2500 0.8750
0.7500 0.8750 0.6250
0.7500 0.3750 0.1250
0.8750 0.7500 0.1250
```